VASP calculation (GGA+U) on a relaxed UVTcO6 crystal.

CIF file:
```
data_UVTcO6
_chemical_formula_sum 'U2 V2 Tc2 O12'
_cell_length_a 5.3163
_cell_length_b 5.3163
_cell_length_c 8.8673
_cell_angle_alpha 90.00
_cell_angle_beta 90.00
_cell_angle_gamma 120.00
_symmetry_space_group_name_H-M 'P -3 1 c'
_symmetry_Int_Tables_number 163
_symmetry_space_group_name_Hall '-P 3 2c'
loop_
_atom_site_label
_atom_site_type_symbol
_atom_site_fract_x
_atom_site_fract_y
_atom_site_fract_z
_atom_site_occupancy
U1 U 0.3333 0.6667 0.2500 1
V1 V 0.3333 0.6667 0.7500 1
Tc1 Tc 0.0000 0.0000 0.0000 1
O1 O 0.0132 0.3324 0.6265 1
```

Output
The value obtained for the energy is -8.694 eV/atom. The density of states at the Fermi level comes out at 7.34 states/eV/f.u.